Record 1
## ScCrInIr (GGA-PBE)

Data for a geometry-optimized ScCrInIr structure.

Geometry as CIF:
```
data_ScCrInIr
_symmetry_space_group_name_H-M 'P 1'
_symmetry_Int_Tables_number 1
_cell_length_a 4.596
_cell_length_b 4.596
_cell_length_c 4.596
_cell_angle_alpha 60.00
_cell_angle_beta 60.00
_cell_angle_gamma 60.00
loop_
_symmetry_equiv_pos_as_xyz
'x,y,z'
loop_
_atom_site_label
_atom_site_type_symbol
_atom_site_fract_x
_atom_site_fract_y
_atom_site_fract_z
In1 In 0.500 0.500 0.500
Sc1 Sc 0.000 0.000 0.000
Ir1 Ir 0.750 0.750 0.750
Cr1 Cr 0.250 0.250 0.250
```

Properties
- crystal system = cubic
- ΔE_f (eV per atom) = -0.33


Record 2
## ZnCrInIr (GGA-PBE)

Data for a geometry-optimized ZnCrInIr structure.

Geometry as CIF:
```
data_ZnCrInIr
_symmetry_space_group_name_H-M 'P 1'
_symmetry_Int_Tables_number 1
_cell_length_a 4.473
_cell_length_b 4.473
_cell_length_c 4.473
_cell_angle_alpha 60.00
_cell_angle_beta 60.00
_cell_angle_gamma 60.00
loop_
_symmetry_equiv_pos_as_xyz
'x,y,z'
loop_
_atom_site_label
_atom_site_type_symbol
_atom_site_fract_x
_atom_site_fract_y
_atom_site_fract_z
Zn1 Zn 0.500 0.500 0.500
Ir1 Ir 0.750 0.750 0.750
Cr1 Cr 0.250 0.250 0.250
In1 In 0.000 0.000 0.000
```

Properties
- crystal system = cubic
- ΔE_f (eV per atom) = 0.01


The records above give, respectively, Fermi-level density of states values of 0.80; 1.37 states/eV/f.u..
The records above give, respectively, total DFT energy (no corrections) values of -28.880; -22.443 eV/cell.